1.
## Ag2TeAu (SCAN)

Data for a PBEsol-optimized structure of Ag2TeAu.

Calculated values
**Magnetization**: 0.000 μB/atom
**Energy**: -505.6 eV per cell
**Calculated density**: 11.46 g/cm3

Cell lengths 3.1274, 3.1274, 27.7316 Å; angles 90.00, 90.00, 120.00 degrees
Space group R-3m (No. 166, hexagonal axes)
Unique sites:
Ag  0.0000  0.0000  0.2439 x6
Te  0.0000  0.0000  0.0000 x3
Au  0.0000  0.0000  0.5000 x3

=====

2.
## SbOs2Se (SCAN)

Data for a PBEsol-optimized structure of SbOs2Se.

Calculated values
**Magnetization**: 0.000 μB/atom
**Energy**: -790.8 eV per cell
**Calculated density**: 14.94 g/cm3

Cell lengths 6.369, 6.369, 6.369 Å; angles 90.00, 90.00, 90.00 degrees
Space group Fm-3m (No. 225)
Unique sites:
Sb  0.000  0.000  0.000 x4
Os  0.250  0.250  0.250 x8
Se  0.000  0.000  0.500 x4

=====

3.
## ScCdMo2 (SCAN)

Data for a PBEsol-optimized structure of ScCdMo2.

Calculated values
**Formation enthalpy at 0 K**: 102 kJ/mol of formula units
**Magnetization**: 0.000 μB/atom
**Calculated density**: 8.47 g/cm3

Cell lengths 5.576, 9.469, 2.724 Å; angles 90.00, 107.77, 90.00 degrees
Space group C2/m (No. 12)
Unique sites:
Sc  0.000  0.000  0.000 x2
Cd  0.000  0.500  0.000 x2
Mo  0.250  0.250  0.500 x4

=====

4.
## Al2Sb2Au (SCAN)

Data for a PBEsol-optimized structure of Al2Sb2Au.

Calculated values
**Magnetization**: 0.000 μB/atom
**Energy**: -318.0 eV per cell
**Calculated density**: 7.70 g/cm3

Cell lengths 6.626, 6.626, 4.856 Å; angles 90.00, 90.00, 90.00 degrees
Space group P4/mbm (No. 127)
Unique sites:
Al  0.140  0.360  0.000 x4
Sb  0.178  0.678  0.500 x4
Au  0.000  0.000  0.000 x2

=====

5.
## KBa3 (SCAN)

Data for a PBEsol-optimized structure of KBa3.

Calculated values
**Formation enthalpy at 0 K**: 40 kJ/mol of formula units
**Magnetization**: 0.036 μB/atom
**Calculated density**: 3.01 g/cm3

Cell lengths 6.288, 6.288, 6.288 Å; angles 90.00, 90.00, 90.00 degrees
Space group Pm-3m (No. 221)
Unique sites:
K  0.000  0.000  0.000 x1
Ba  0.000  0.500  0.500 x3

=====

6.
## TeMo2Br (SCAN)

Data for a PBEsol-optimized structure of TeMo2Br.

Calculated values
**Magnetization**: 0.071 μB/atom
**Energy**: -488.1 eV per cell
**Calculated density**: 8.94 g/cm3

Cell lengths 6.671, 6.671, 6.671 Å; angles 90.00, 90.00, 90.00 degrees
Space group F-43m (No. 216)
Unique sites:
Te  0.000  0.000  0.000 x4
Mo  0.000  0.000  0.500 x4
Mo  0.250  0.250  0.750 x4
Br  0.250  0.250  0.250 x4

=====

7.
## Co2Ir (SCAN)

Data for a PBEsol-optimized structure of Co2Ir.

Calculated values
**Formation enthalpy at 0 K**: 14 kJ/mol of formula units
**Magnetization**: 1.393 μB/atom
**Calculated density**: 14.80 g/cm3

Cell lengths 2.595, 13.122, 4.088 Å; angles 90.00, 90.00, 90.00 degrees
Space group Cmcm (No. 63)
Unique sites:
Co  0.000  0.058  0.250 x4
Co  0.000  0.277  0.750 x4
Ir  0.000  0.390  0.250 x4

=====

8.
## KOs2W (SCAN)

Data for a PBEsol-optimized structure of KOs2W.

Calculated values
**Formation enthalpy at 0 K**: 539 kJ/mol of formula units
**Magnetization**: 0.000 μB/atom
**Calculated density**: 14.29 g/cm3

Cell lengths 2.895, 5.110, 9.481 Å; angles 90.00, 90.00, 90.00 degrees
Space group Immm (No. 71)
Unique sites:
K  0.000  0.000  0.000 x2
Os  0.000  0.500  0.218 x4
W  0.000  0.000  0.500 x2

=====

9.
## SrCaSc2 (SCAN)

Data for a PBEsol-optimized structure of SrCaSc2.

Calculated values
**Formation enthalpy at 0 K**: 130 kJ/mol of formula units
**Magnetization**: 0.528 μB/atom
**Calculated density**: 2.81 g/cm3

Cell lengths 5.157, 5.157, 9.676 Å; angles 90.00, 90.00, 90.00 degrees
Space group I-4m2 (No. 119)
Unique sites:
Sr  0.000  0.000  0.000 x2
Ca  0.000  0.500  0.250 x2
Sc  0.000  0.000  0.500 x2
Sc  0.000  0.500  0.750 x2

=====

10.
## NbGa2AgI (SCAN)

Data for a PBEsol-optimized structure of NbGa2AgI.

Calculated values
**Magnetization**: 0.499 μB/atom
**Energy**: -129.6 eV per cell
**Calculated density**: 5.66 g/cm3

Cell lengths 5.140, 5.140, 5.187 Å; angles 90.00, 90.00, 90.00 degrees
Space group P4/mmm (No. 123)
Unique sites:
Nb  0.000  0.000  0.000 x1
Ga  0.000  0.500  0.000 x2
Ag  0.000  0.000  0.500 x1
I  0.500  0.500  0.500 x1

=====

11.
## Hg4C (SCAN)

Data for a PBEsol-optimized structure of Hg4C.

Calculated values
**Formation enthalpy at 0 K**: 666 kJ/mol of formula units
**Magnetization**: 0.400 μB/atom
**Calculated density**: 11.84 g/cm3

Cell lengths 3.944, 3.944, 14.681 Å; angles 90.00, 90.00, 90.00 degrees
Space group I4/mmm (No. 139)
Unique sites:
Hg  0.000  0.000  0.091 x4
Hg  0.000  0.500  0.250 x4
C  0.000  0.000  0.500 x2

=====

12.
## CsRhIO2 (SCAN)

Data for a PBEsol-optimized structure of CsRhIO2.

Calculated values
**Magnetization**: 0.366 μB/atom
**Energy**: -116.9 eV per cell
**Calculated density**: 5.10 g/cm3

Cell lengths 4.149, 4.149, 7.461 Å; angles 90.00, 90.00, 90.00 degrees
Space group P4/mmm (No. 123)
Unique sites:
Cs  0.000  0.000  0.000 x1
Rh  0.500  0.500  0.500 x1
I  0.000  0.000  0.500 x1
O  0.000  0.500  0.000 x2